Crystalline La3TiCd at its relaxed geometry, computed with GGA-PBE.

total magnetization = 0.000 Bohr magnetons per cell
space group = No. 221
E_form = 30.6 kJ/mol of atoms

Cell lengths 5.554, 5.554, 5.554 Å; angles 90.00, 90.00, 90.00 degrees
Sites, in units of the cell vectors:
La: 0.000 0.000 0.500
La: 0.000 0.500 0.000
La: 0.500 0.000 0.000
Ti: 0.000 0.000 0.000
Cd: 0.500 0.500 0.500



Crystalline LaTiCd4 at its relaxed geometry, computed with GGA-PBE.

total magnetization = 2.865 Bohr magnetons per cell
space group = No. 216
E_form = -5.9 kJ/mol of atoms

Cell lengths 5.866, 5.866, 5.866 Å; angles 60.00, 60.00, 60.00 degrees
Sites, in units of the cell vectors:
La: 0.000 0.000 0.000
Ti: 0.250 0.250 0.250
Cd: 0.127 0.624 0.624
Cd: 0.624 0.127 0.624
Cd: 0.624 0.624 0.127
Cd: 0.624 0.624 0.624



Crystalline LaTiCd at its relaxed geometry, computed with GGA-PBE.

total magnetization = 6.932 Bohr magnetons per cell
space group = No. 74
E_form = 0.2 kJ/mol of atoms

Cell lengths 5.785, 6.074, 8.615 Å; angles 90.00, 90.00, 90.00 degrees
Sites, in units of the cell vectors:
La: 0.000 0.250 0.120
La: 0.000 0.750 0.880
La: 0.500 0.250 0.380
La: 0.500 0.750 0.620
Ti: 0.250 0.250 0.750
Ti: 0.250 0.750 0.250
Ti: 0.750 0.250 0.750
Ti: 0.750 0.750 0.250
Cd: 0.000 0.000 0.500
Cd: 0.000 0.500 0.500
Cd: 0.500 0.000 0.000
Cd: 0.500 0.500 0.000



Q: The lowest total magnetization belongs to which entry?
A: La3TiCd



Q: total magnetization of number 3 (LaTiCd)?
A: 6.932 Bohr magnetons per cell